No. 1
RbTaB PBE-GGA optimized geometry; electronic total energy = -3.0250 eV per atom; space group = F-43m, No. 216; calculated density = 7.00 Mg/m³; offset from the most stable computed form = 1203 meV/atom
1.0
0.000 3.203 3.203
3.203 0.000 3.203
3.203 3.203 0.000
B Rb Ta
1 1 1
direct
0.250 0.250 0.250 B
0.000 0.000 0.000 Rb
0.750 0.750 0.750 Ta

No. 2
RbTaB PBE-GGA optimized geometry; electronic total energy = -4.2282 eV per atom; space group = F-43m, No. 216; calculated density = 7.47 Mg/m³; offset from the most stable computed form = 0 meV/atom
1.0
-0.717 -2.216 3.772
-3.828 0.509 2.176
-2.949 -3.308 0.101
B Rb Ta
1 1 1
direct
0.000 0.000 0.000 B
0.250 0.250 0.250 Rb
0.750 0.750 0.750 Ta

No. 3
RbTbB PBE-GGA optimized geometry; electronic total energy = -2.9201 eV per atom; space group = F-43m, No. 216; calculated density = 5.17 Mg/m³
1.0
0.000 3.447 3.447
3.447 0.000 3.447
3.447 3.447 0.000
B Rb Tb
1 1 1
direct
0.000 0.000 0.000 B
0.250 0.250 0.250 Rb
0.750 0.750 0.750 Tb

No. 4
RbTcB4 PBE-GGA optimized geometry; electronic total energy = -6.1693 eV per atom; space group = P6/mmm, No. 191; calculated density = 5.52 Mg/m³; offset from the most stable computed form = 0 meV/atom
1.0
3.028 0.000 0.000
-1.514 2.622 0.000
0.000 0.000 8.597
B Rb Tc
4 1 1
direct
0.667 0.333 0.307 B
0.333 0.667 0.307 B
0.667 0.333 0.693 B
0.333 0.667 0.693 B
0.000 0.000 0.000 Rb
0.000 0.000 0.500 Tc